1.
DFT (PBE-GGA) results for crystalline K2VCr at its relaxed geometry.

SG   I-42d
D(E_F)   1.3909 states/eV per atom
Spin magnetization   0.6 μB/f.u.
E_form   1.28 eV/atom
E_tot   -31.60 eV for the cell shown

Lattice parameters (Å, degrees): 12.5565 12.5565 9.1750 46.82 46.82 90.00
With the nearest neighbours (Å) after each atom.
Element x y z (fractional)
Cr (0.0000, 0.0000, 0.0000)  2 V 2.31
Cr (0.7500, 0.2500, 0.5000)  2 V 2.31
K (0.7821, 0.1250, 0.2500)  2 Cr 3.40, 2 V 3.77
K (0.9679, 0.6250, 0.2500)  2 Cr 3.40, 2 V 3.77
K (0.3750, 0.2179, 0.7500)  2 Cr 3.40, 2 V 3.77
K (0.8750, 0.0321, 0.7500)  2 Cr 3.40, 2 V 3.77
V (0.5000, 0.5000, 0.0000)  2 Cr 2.31
V (0.2500, 0.7500, 0.5000)  2 Cr 2.31



2.
DFT (PBE-GGA) results for crystalline LaPuMgO6 at its relaxed geometry.

SG   P-31c
Spin magnetization   1.0 μB/f.u.
Energy relative to the elements, uncorrected   -2.770 eV per atom
E_tot   -151.07 eV for the cell shown

Lattice parameters (Å, degrees): 5.4126 5.4126 10.4096 90.00 90.00 120.00
With the nearest neighbours (Å) after each atom.
Element x y z (fractional)
La (0.0000, 0.0000, 0.0000)  6 O 2.45
La (0.0000, 0.0000, 0.5000)  6 O 2.45
Pu (0.6667, 0.3333, 0.2500)  6 O 2.02
Pu (0.3333, 0.6667, 0.7500)  6 O 2.02
Mg (0.3333, 0.6667, 0.2500)  6 O 2.12
Mg (0.6667, 0.3333, 0.7500)  6 O 2.12
O (0.6475, 0.6333, 0.1427)  1 Pu 2.02, 1 Mg 2.12
O (0.9858, 0.3525, 0.1427)  1 Pu 2.02, 1 Mg 2.12
O (0.3525, 0.9858, 0.6427)  1 Pu 2.02, 1 Mg 2.12
O (0.0142, 0.6475, 0.8573)  1 Pu 2.02, 1 Mg 2.12
O (0.3667, 0.3525, 0.3573)  1 Pu 2.02, 1 Mg 2.12
O (0.9858, 0.6333, 0.3573)  1 Pu 2.02, 1 Mg 2.12
O (0.6333, 0.9858, 0.8573)  1 Pu 2.02, 1 Mg 2.12
O (0.6475, 0.0142, 0.3573)  1 Pu 2.02, 1 Mg 2.12
O (0.0142, 0.3667, 0.6427)  1 Pu 2.02, 1 Mg 2.12
O (0.3667, 0.0142, 0.1427)  1 Pu 2.02, 1 Mg 2.12
O (0.6333, 0.6475, 0.6427)  1 Pu 2.02, 1 Mg 2.12
O (0.3525, 0.3667, 0.8573)  1 Pu 2.02, 1 Mg 2.12



3.
DFT (PBE-GGA) results for crystalline Re7P6 at its relaxed geometry.

SG   R-3m
D(E_F)   1.0495 states/eV per atom
Spin magnetization   0.0 μB/f.u.
E_form   0.45 eV/atom
E_tot   -113.75 eV for the cell shown

Lattice parameters (Å, degrees): 8.8898 8.8898 8.8898 35.03 35.03 35.03
With the nearest neighbours (Å) after each atom.
Element x y z (fractional)
Re (0.9229, 0.4254, 0.4254)  3 P 2.42-2.45, 4 Re 2.66-2.69
Re (0.4254, 0.4254, 0.9229)  3 P 2.42-2.45, 4 Re 2.66-2.69
Re (0.4254, 0.9229, 0.4254)  3 P 2.42-2.45, 4 Re 2.66-2.69
Re (0.0771, 0.5746, 0.5746)  3 P 2.42-2.45, 4 Re 2.66-2.69
Re (0.5746, 0.0771, 0.5746)  3 P 2.42-2.45, 4 Re 2.66-2.69
Re (0.5746, 0.5746, 0.0771)  3 P 2.42-2.45, 4 Re 2.66-2.69
Re (0.5000, 0.5000, 0.5000)  6 Re 2.75
P (0.9462, 0.9462, 0.9462)  1 P 2.69, 6 Re 2.73
P (0.0538, 0.0538, 0.0538)  1 P 2.69, 6 Re 2.73
P (0.8177, 0.8177, 0.8177)  3 Re 2.45
P (0.1823, 0.1823, 0.1823)  3 Re 2.45
P (0.6661, 0.6661, 0.6661)  6 Re 2.42-2.45
P (0.3339, 0.3339, 0.3339)  6 Re 2.42-2.45



4.
DFT (PBE-GGA) results for crystalline Pm2Si4AgAu3 at its relaxed geometry.

SG   P-4m2
D(E_F)   0.1482 states/eV per atom
Spin magnetization   0.0 μB/f.u.
Energy relative to the elements, uncorrected   -0.520 eV per atom
E_tot   -49.08 eV for the cell shown

Lattice parameters (Å, degrees): 4.3356 4.3356 10.3226 90.00 90.00 90.00
With the nearest neighbours (Å) after each atom.
Element x y z (fractional)
Pm (0.5000, 0.0000, 0.2480)  8 Si 3.29-3.35, 6 Au 3.31-3.39, 2 Ag 3.39
Pm (0.0000, 0.5000, 0.7520)  8 Si 3.29-3.35, 6 Au 3.31-3.39, 2 Ag 3.39
Si (0.5000, 0.5000, 0.0000)  4 Au 2.53
Si (0.0000, 0.0000, 0.0000)  4 Au 2.53
Si (0.5000, 0.0000, 0.6358)  3 Au 2.45-2.58, 2 Ag 2.58
Si (0.0000, 0.5000, 0.3642)  3 Au 2.45-2.58, 2 Ag 2.58
Ag (0.5000, 0.5000, 0.5000)  4 Si 2.58
Au (0.0000, 0.0000, 0.5000)  4 Si 2.58
Au (0.5000, 0.0000, 0.8734)  5 Si 2.45-2.53
Au (0.0000, 0.5000, 0.1266)  5 Si 2.45-2.53



5.
DFT (PBE-GGA) results for crystalline Li2ZnCdP2 at its relaxed geometry.

SG   R3m
D(E_F)   0.1295 states/eV per atom
Spin magnetization   0.0 μB/f.u.
E_form   -0.18 eV/atom
E_tot   -17.92 eV for the cell shown

Lattice parameters (Å, degrees): 4.1020 4.1020 9.0936 76.97 90.00 120.00
With the nearest neighbours (Å) after each atom.
Element x y z (fractional)
Li (0.8755, 0.7511, 0.3734)  1 Zn 2.43, 1 P 2.57
Li (0.3741, 0.7482, 0.8778)  1 P 2.49, 1 Cd 2.60
Zn (0.7834, 0.5667, 0.6499)  3 P 2.42, 1 Li 2.43
Cd (0.2753, 0.5506, 0.1741)  3 P 2.51, 1 Li 2.60
P (0.9730, 0.9461, 0.0809)  3 Cd 2.51, 1 Li 2.57
P (0.4687, 0.9374, 0.5939)  3 Zn 2.42, 1 Li 2.49



6.
DFT (PBE-GGA) results for crystalline TcNiPb4 at its relaxed geometry.

SG   F-43m
D(E_F)   1.2602 states/eV per atom
Spin magnetization   3.8 μB/f.u.
E_form   1.20 eV/atom
E_tot   -23.81 eV for the cell shown

Lattice parameters (Å, degrees): 6.2375 6.2375 6.2375 60.00 60.00 60.00
With the nearest neighbours (Å) after each atom.
Element x y z (fractional)
Tc (0.7500, 0.7500, 0.7500)  12 Pb 3.66, 4 Ni 3.82
Ni (0.0000, 0.0000, 0.0000)  12 Pb 3.66, 4 Tc 3.82
Pb (0.8745, 0.3752, 0.3752)  6 Pb 3.11-3.12
Pb (0.3752, 0.3752, 0.8745)  6 Pb 3.11-3.12
Pb (0.3752, 0.8745, 0.3752)  6 Pb 3.11-3.12
Pb (0.3752, 0.3752, 0.3752)  6 Pb 3.11-3.12



7.
DFT (PBE-GGA) results for crystalline Rb2PaHgI6 at its relaxed geometry.

SG   R-3m
D(E_F)   0.5624 states/eV per atom
Spin magnetization   1.0 μB/f.u.
Energy relative to the elements, uncorrected   -1.013 eV per atom
E_tot   -62.33 eV for the cell shown

Lattice parameters (Å, degrees): 9.1148 9.1148 15.0585 72.38 72.38 60.00
With the nearest neighbours (Å) after each atom.
Element x y z (fractional)
Rb (0.8729, 0.8729, 0.3813)  3 I 3.86
Rb (0.1271, 0.1271, 0.6187)  3 I 3.86
Rb (0.7298, 0.7298, 0.8105)  3 I 3.87
Rb (0.2702, 0.2702, 0.1895)  3 I 3.87
Pa (0.0000, 0.0000, 0.0000)  6 I 3.03
Pa (0.5000, 0.5000, 0.5000)  6 I 3.16, 2 Hg 3.27
Hg (0.5772, 0.5772, 0.2685)  1 Pa 3.27, 6 I 3.44-3.45
Hg (0.4228, 0.4228, 0.7315)  1 Pa 3.27, 6 I 3.44-3.45
I (0.8939, 0.3508, 0.4044)  1 Pa 3.16, 1 Hg 3.44
I (0.3508, 0.8939, 0.4044)  1 Pa 3.16, 1 Hg 3.44
I (0.3508, 0.3508, 0.4044)  1 Pa 3.16, 1 Hg 3.44
I (0.1061, 0.6492, 0.5956)  1 Pa 3.16, 1 Hg 3.44
I (0.6492, 0.1061, 0.5956)  1 Pa 3.16, 1 Hg 3.44
I (0.6492, 0.6492, 0.5956)  1 Pa 3.16, 1 Hg 3.44
I (0.7308, 0.1976, 0.8739)  1 Pa 3.03
I (0.1976, 0.7308, 0.8739)  1 Pa 3.03
I (0.1976, 0.1976, 0.8739)  1 Pa 3.03
I (0.2692, 0.8024, 0.1261)  1 Pa 3.03
I (0.8024, 0.2692, 0.1261)  1 Pa 3.03
I (0.8024, 0.8024, 0.1261)  1 Pa 3.03



8.
DFT (PBE-GGA) results for crystalline PmHo2Cu2Ge2 at its relaxed geometry.

SG   R-3m
D(E_F)   0.4881 states/eV per atom
Spin magnetization   0.0 μB/f.u.
E_form   -0.49 eV/atom
E_tot   -34.78 eV for the cell shown

Lattice parameters (Å, degrees): 4.3060 4.3060 9.6627 77.13 77.13 60.00
With the nearest neighbours (Å) after each atom.
Element x y z (fractional)
Pm (0.0000, 0.0000, 0.0000)  6 Cu 3.17, 6 Ge 3.20
Ho (0.1271, 0.1271, 0.6188)  3 Ge 2.92, 3 Cu 2.95
Ho (0.8729, 0.8729, 0.3812)  3 Ge 2.92, 3 Cu 2.95
Cu (0.5963, 0.5963, 0.2110)  3 Ge 2.49
Cu (0.4037, 0.4037, 0.7890)  3 Ge 2.49
Ge (0.7388, 0.7388, 0.7835)  3 Cu 2.49
Ge (0.2612, 0.2612, 0.2165)  3 Cu 2.49



9.
DFT (PBE-GGA) results for crystalline LiAu3F at its relaxed geometry.

SG   Pm-3m
D(E_F)   0.3052 states/eV per atom
Spin magnetization   0.0 μB/f.u.
Energy relative to the elements, uncorrected   0.214 eV per atom
E_tot   -12.55 eV for the cell shown

Lattice parameters (Å, degrees): 4.4741 4.4741 4.4741 90.00 90.00 90.00
With the nearest neighbours (Å) after each atom.
Element x y z (fractional)
Li (0.0000, 0.0000, 0.0000)  6 Au 2.24
Au (0.0000, 0.5000, 0.0000)  2 Li 2.24
Au (0.0000, 0.0000, 0.5000)  2 Li 2.24
Au (0.5000, 0.0000, 0.0000)  2 Li 2.24
F (0.5000, 0.5000, 0.5000)  12 Au 3.16



10.
DFT (PBE-GGA) results for crystalline P4S at its relaxed geometry.

SG   Pm-3m
D(E_F)   0.8815 states/eV per atom
Spin magnetization   0.0 μB/f.u.
Energy relative to the elements, uncorrected   1.234 eV per atom
E_tot   -19.60 eV for the cell shown

Lattice parameters (Å, degrees): 4.4834 4.4834 4.4834 90.00 90.00 90.00
With the nearest neighbours (Å) after each atom.
Element x y z (fractional)
P (0.0000, 0.0000, 0.0000)  12 P 3.17
P (0.5000, 0.0000, 0.5000)  2 S 2.24
P (0.0000, 0.5000, 0.5000)  2 S 2.24
P (0.5000, 0.5000, 0.0000)  2 S 2.24
S (0.5000, 0.5000, 0.5000)  6 P 2.24



11.
DFT (PBE-GGA) results for crystalline PmYSN at its relaxed geometry.

SG   R3m
D(E_F)   0.2681 states/eV per atom
Spin magnetization   0.0 μB/f.u.
Energy relative to the elements, uncorrected   -1.806 eV per atom
E_tot   -30.89 eV for the cell shown

Lattice parameters (Å, degrees): 3.6847 3.6847 6.7517 74.16 74.16 60.00
With the nearest neighbours (Å) after each atom.
Element x y z (fractional)
Pm (0.2630, 0.2630, 0.2110)  3 N 2.56, 3 S 2.86
Y (0.7362, 0.7362, 0.7913)  3 N 2.47
S (0.4967, 0.4967, 0.5100)  3 Y 2.79, 3 Pm 2.86
N (0.0041, 0.0041, 0.9877)  3 Y 2.47, 3 Pm 2.56



12.
DFT (PBE-GGA) results for crystalline Li2AlCu3 at its relaxed geometry.

SG   R-3m
D(E_F)   0.4558 states/eV per atom
Spin magnetization   0.0 μB/f.u.
E_form   -0.15 eV/atom
E_tot   -20.75 eV for the cell shown

Lattice parameters (Å, degrees): 4.9430 4.9430 4.9430 60.70 60.70 60.70
With the nearest neighbours (Å) after each atom.
Element x y z (fractional)
Li (0.3775, 0.3775, 0.3775)  9 Cu 2.90-2.92, 3 Al 2.93, 4 Li 2.95-3.07
Li (0.6225, 0.6225, 0.6225)  9 Cu 2.90-2.92, 3 Al 2.93, 4 Li 2.95-3.07
Al (0.0000, 0.0000, 0.0000)  6 Cu 2.47
Cu (0.0000, 0.0000, 0.5000)  2 Al 2.47, 4 Cu 2.50
Cu (0.5000, 0.0000, 0.0000)  2 Al 2.47, 4 Cu 2.50
Cu (0.0000, 0.5000, 0.0000)  2 Al 2.47, 4 Cu 2.50